(1)
## Pm2AlC2 (GGA-PBE)

Data for an optimized crystal structure of Pm2AlC2.

Values from the calculation:
symmetry: C2/m (12)
total magnetization: 0.000 Bohr magnetons per cell
ΔH_f (0 K): -0.797 eV per formula unit

Lattice parameters (Å, degrees): 6.334 6.334 6.935 117.36 117.36 50.00
Positions (direct):
Pm 0.036 0.036 0.275
Pm 0.326 0.326 0.905
Pm 0.674 0.674 0.095
Pm 0.964 0.964 0.725
Al 0.366 0.366 0.371
Al 0.634 0.634 0.629
C 0.176 0.176 0.105
C 0.481 0.481 0.711
C 0.519 0.519 0.289
C 0.824 0.824 0.895



(2)
## CaSc2Cl (GGA-PBE)

Data for an optimized crystal structure of CaSc2Cl.

Values from the calculation:
uncorrected formation energy: -648 meV per atom
symmetry: R3m (160)
total magnetization: 0.000 Bohr magnetons per cell
ΔE to the lowest computed polymorph: 0 meV per atom

Lattice parameters (Å, degrees): 9.598 9.598 9.598 21.11 21.11 21.11
Positions (direct):
Ca 0.000 0.000 0.000
Sc 0.232 0.232 0.232
Sc 0.480 0.480 0.480
Cl 0.744 0.744 0.744



(3)
## NbVN2 (GGA-PBE)

Data for an optimized crystal structure of NbVN2.

Values from the calculation:
uncorrected formation energy: -398 meV per atom
symmetry: R-3m (166)
total magnetization: 0.378 Bohr magnetons per cell

Lattice parameters (Å, degrees): 6.404 6.404 6.404 26.90 26.90 26.90
Positions (direct):
Nb 0.000 0.000 0.000
V 0.500 0.500 0.500
N 0.109 0.109 0.109
N 0.891 0.891 0.891



Copy entry 1 word for word.
## Pm2AlC2 (GGA-PBE)

Data for an optimized crystal structure of Pm2AlC2.

Values from the calculation:
symmetry: C2/m (12)
total magnetization: 0.000 Bohr magnetons per cell
ΔH_f (0 K): -0.797 eV per formula unit

Lattice parameters (Å, degrees): 6.334 6.334 6.935 117.36 117.36 50.00
Positions (direct):
Pm 0.036 0.036 0.275
Pm 0.326 0.326 0.905
Pm 0.674 0.674 0.095
Pm 0.964 0.964 0.725
Al 0.366 0.366 0.371
Al 0.634 0.634 0.629
C 0.176 0.176 0.105
C 0.481 0.481 0.711
C 0.519 0.519 0.289
C 0.824 0.824 0.895



Which value of total magnetization does entry 1 give? 0.000 Bohr magnetons per cell



Which of these has the highest total magnetization? NbVN2



Which of these has the highest total magnetization? NbVN2